Compound: RbPtO3
Source: Alexandria via LeMat-Bulk
Functional: GGA-PBE
Structure: relaxed

CIF file:
```
data_RbPtO3
_cell_length_a 4.051
_cell_length_b 4.051
_cell_length_c 4.051
_cell_angle_alpha 90.00
_cell_angle_beta 90.00
_cell_angle_gamma 90.00
_symmetry_space_group_name_H-M 'P m -3 m'
_symmetry_Int_Tables_number 221
_symmetry_space_group_name_Hall '-P 4 2 3'
loop_
_atom_site_label
_atom_site_type_symbol
_atom_site_fract_x
_atom_site_fract_y
_atom_site_fract_z
Rb1 Rb 0.000 0.000 0.000
Pt1 Pt 0.500 0.500 0.500
O1 O 0.000 0.500 0.500
```

Calculated volume (Å³/cell): 66
Electronic total energy (Ha/atom): -0.1778
Raw formation energy (eV/atom): -0.461
Theoretical density (g/cm³): 8.21
DOS at the Fermi energy (states/eV/cell): 3.58